Record 1
PaB6Mo2 (PBE-GGA, optimized geometry); energy of formation = -0.359 eV per atom; DOS at the Fermi energy = 0.360 states/eV/atom; DFT total energy = -8.273 eV/atom
1.0
5.3495 0.0000 0.0000
-2.6747 4.6328 0.0000
0.0000 0.0000 3.6806
Pa B Mo
1 6 2
Direct
0.0000 0.0000 0.0000
0.0000 0.3400 0.5000
0.0000 0.6600 0.5000
0.3400 0.0000 0.5000
0.3400 0.3400 0.5000
0.6600 0.0000 0.5000
0.6600 0.6600 0.5000
0.3333 0.6667 0.0000
0.6667 0.3333 0.0000

Record 2
Hf8Ga2N (PBE-GGA, optimized geometry); formation energy from raw total energies = -0.231 eV per atom; DOS at the Fermi energy = 0.930 states/eV/atom; DFT total energy = -8.777 eV/atom
1.0
7.8725 -2.4688 0.0000
7.8725 2.4688 0.0000
-2.0301 0.0000 5.4322
Hf Ga N
8 2 1
Direct
0.0094 0.0094 0.2509
0.2126 0.2126 0.1339
0.3706 0.3706 0.7063
0.4187 0.4187 0.2524
0.5813 0.5813 0.7476
0.6294 0.6294 0.2937
0.7874 0.7874 0.8661
0.9906 0.9906 0.7491
0.1764 0.1764 0.6254
0.8236 0.8236 0.3746
0.5000 0.5000 0.0000

Record 3
DyZrGaOs (PBE-GGA, optimized geometry); energy of formation = -0.345 eV per atom; DOS at the Fermi energy = 0.481 states/eV/atom; DFT total energy = -7.197 eV/atom
1.0
0.0000 3.4041 3.4041
3.4041 0.0000 3.4041
3.4041 3.4041 0.0000
Dy Zr Ga Os
1 1 1 1
Direct
0.0000 0.0000 0.0000
0.5000 0.5000 0.5000
0.2500 0.2500 0.2500
0.7500 0.7500 0.7500

Record 4
LaPu2Au8 (PBE-GGA, optimized geometry); energy of formation = -0.508 eV per atom; DOS at the Fermi energy = 3.110 states/eV/atom; DFT total energy = -5.945 eV/atom
1.0
4.0070 -7.7188 0.0000
4.0070 7.7188 0.0000
-3.3984 0.0000 3.9896
La Pu Au
1 2 8
Direct
0.0000 0.0000 0.0000
0.3151 0.6849 0.5000
0.6849 0.3151 0.5000
0.0957 0.3617 0.7320
0.2029 0.7971 0.0000
0.3617 0.0957 0.7320
0.4977 0.4977 0.7475
0.5023 0.5023 0.2525
0.6383 0.9043 0.2680
0.7971 0.2029 0.0000
0.9043 0.6383 0.2680